# Rb2NaLa | Alexandria | PBE | relaxed
data_Rb2NaLa
_chemical_formula_sum 'Rb2 Na1 La1'
_symmetry_space_group_name_H-M 'P 1'
_symmetry_Int_Tables_number 1
_cell_length_a 3.981
_cell_length_b 3.981
_cell_length_c 15.362
_cell_angle_alpha 82.55
_cell_angle_beta 82.55
_cell_angle_gamma 60.00
loop_
_symmetry_equiv_pos_as_xyz
'x,y,z'
loop_
_atom_site_label
_atom_site_type_symbol
_atom_site_fract_x
_atom_site_fract_y
_atom_site_fract_z
_atom_site_occupancy
Rb1 Rb 0.086 0.086 0.742 1
Rb2 Rb 0.914 0.914 0.258 1
La1 La 0.000 0.000 0.000 1
Na1 Na 0.500 0.500 0.500 1
# ΔE_f (eV per atom): 0.342
# Total magnetization (μB per formula unit): 0.0
# Space-group type: R-3m
# V (Å³/atom): 52.12